(1)
The following is a DFT calculation (PBE) of a geometry-optimized Zn2TcNi structure.

Values from the calculation:
Energy of formation from the pure elements   -0.014 eV per atom
Spin magnetization   0.00 μB/f.u.
E_tot   -4.69 eV/atom
E above lowest polymorph   20.7 meV per atom

Unit cell a=3.7248 b=3.7342 c=7.6161 alpha=90.00 beta=90.00 gamma=90.00
Closest atoms and distances in Å follow each position.
Space group Cmmm (No. 65)
One atom of each set of equivalent atoms:
Zn: 0.0000 0.0000 0.2270 [4 per cell]  4 Ni 2.54, 4 Zn 2.64, 4 Tc 2.79
Tc: 0.0000 0.5000 0.5000 [2 per cell]  4 Tc 2.64, 8 Zn 2.79
Ni: 0.0000 0.5000 0.0000 [2 per cell]  8 Zn 2.54, 4 Ni 2.64


(2)
The following is a DFT calculation (PBE) of a geometry-optimized Hg2MoIr structure.

Values from the calculation:
Energy of formation from the pure elements   0.247 eV per atom
Spin magnetization   0.00 μB/f.u.
E_tot   -4.83 eV/atom
E above lowest polymorph   72.0 meV per atom

Unit cell a=2.9091 b=2.9091 c=30.8371 alpha=90.00 beta=90.00 gamma=120.00
Closest atoms and distances in Å follow each position.
Space group R3m (No. 160, hexagonal axes)
One atom of each set of equivalent atoms:
Hg: 0.0000 0.0000 0.0000 [3 per cell]  6 Hg 2.91, 3 Mo 3.07
Hg: 0.0000 0.0000 0.2323 [3 per cell]  6 Hg 2.91, 3 Ir 3.08
Mo: 0.0000 0.0000 0.7499 [3 per cell]  3 Ir 2.62, 6 Mo 2.91
Ir: 0.0000 0.0000 0.4817 [3 per cell]  3 Mo 2.62, 6 Ir 2.91


(3)
The following is a DFT calculation (PBE) of a geometry-optimized GdBiRh4 structure.

Values from the calculation:
Energy of formation from the pure elements   -0.381 eV per atom
Spin magnetization   6.91 μB/f.u.
E_tot   -8.28 eV/atom

Unit cell a=7.5816 b=7.5816 c=7.5816 alpha=90.00 beta=90.00 gamma=90.00
Closest atoms and distances in Å follow each position.
Space group F-43m (No. 216)
One atom of each set of equivalent atoms:
Gd: 0.0000 0.0000 0.0000 [4 per cell]  12 Rh 3.14, 4 Bi 3.28
Bi: 0.2500 0.2500 0.7500 [4 per cell]  12 Rh 3.14, 4 Gd 3.28
Rh: 0.1244 0.1244 0.3756 [16 per cell]  6 Rh 2.67-2.69


(4)
The following is a DFT calculation (PBE) of a geometry-optimized CuPbCO2 structure.

Values from the calculation:
Spin magnetization   0.00 μB/f.u.
E_tot   -4.78 eV/atom
Uncorrected formation energy   0.607 eV per atom
E above lowest polymorph   0.0 meV per atom

Unit cell a=4.1394 b=4.1394 c=3.6761 alpha=90.00 beta=90.00 gamma=90.00
Closest atoms and distances in Å follow each position.
Space group P4/mmm (No. 123)
One atom of each set of equivalent atoms:
Cu: 0.0000 0.0000 0.0000 [1 per cell]  2 C 1.84
Pb: 0.5000 0.5000 0.0000 [1 per cell]  8 O 2.77, 4 Cu 2.93
C: 0.0000 0.0000 0.5000 [1 per cell]  2 Cu 1.84
O: 0.0000 0.5000 0.5000 [2 per cell]  2 C 2.07


(5)
The following is a DFT calculation (PBE) of a geometry-optimized LiSm2MgS4 structure.

Values from the calculation:
Spin magnetization   0.00 μB/f.u.
E_tot   -5.40 eV/atom
Uncorrected formation energy   -1.721 eV per atom

Unit cell a=6.6912 b=3.9019 c=6.7323 alpha=90.00 beta=109.25 gamma=90.00
Closest atoms and distances in Å follow each position.
Space group P2/m (No. 10)
One atom of each set of equivalent atoms:
Li: 0.0000 0.0000 0.0000 [1 per cell]  6 S 2.67-2.71
Sm: 0.5000 0.0000 0.5000 [1 per cell]  6 S 2.80-2.81
Sm: 0.5000 0.5000 0.0000 [1 per cell]  6 S 2.83-2.84
Mg: 0.0000 0.5000 0.5000 [1 per cell]  6 S 2.65-2.67
S: 0.2282 0.0000 0.7414 [2 per cell]  1 Li 2.67, 2 Mg 2.67, 3 Sm 2.81-2.84
S: 0.2330 0.5000 0.2494 [2 per cell]  1 Mg 2.65, 2 Li 2.71, 3 Sm 2.80-2.83